# 1
This record from Alexandria describes LiTc3Ni at its PBEsol-relaxed geometry. The functional is SCAN.

Cell: 4.3823 4.3823 4.3823 Å, 90.00 90.00 90.00°
Element x y z (fractional)
1 Ni 0.0000 0.0000 0.0000
2 Tc 0.0000 0.5000 0.0000
3 Tc 0.0000 0.0000 0.5000
4 Tc 0.5000 0.0000 0.0000
5 Li 0.5000 0.5000 0.5000

Values from the calculation:
symmetry: Pm-3m
energy of formation from the pure elements: 1.572 eV/atom

=====

# 2
This record from Alexandria describes KHfSe3 at its PBEsol-relaxed geometry. The functional is SCAN.

Cell: 5.1756 5.1756 5.1756 Å, 90.00 90.00 90.00°
Element x y z (fractional)
1 K 0.5000 0.5000 0.5000
2 Hf 0.0000 0.0000 0.0000
3 Se 0.0000 0.5000 0.0000
4 Se 0.0000 0.0000 0.5000
5 Se 0.5000 0.0000 0.0000

Values from the calculation:
symmetry: Pm-3m
formation energy (no corrections): -1216 meV/atom

=====

# 3
This record from Alexandria describes Ni2IrBr at its PBEsol-relaxed geometry. The functional is SCAN.

Cell: 2.8226 4.5178 4.9836 Å, 116.95 106.45 90.00°
Each line ends with the local moment (μB).
Element x y z (fractional)
1 Br 0.0000 0.5000 0.0000  0.03
2 Ir 0.5000 0.0000 0.0000  0.21
3 Ni 0.7419 0.7419 0.4838  0.69
4 Ni 0.2581 0.2581 0.5162  0.69

Values from the calculation:
relative energy among the computed polymorphs: 333.5 meV per atom
symmetry: Immm
formation energy (no corrections): 889 meV/atom

=====

# 4
This record from Alexandria describes Sr2ZrCo at its PBEsol-relaxed geometry. The functional is SCAN.

Cell: 3.3611 3.8333 9.5100 Å, 101.63 100.18 90.00°
Each line ends with the local moment (μB).
Element x y z (fractional)
1 Co 0.0000 0.5000 0.0000  -0.81
2 Sr 0.6543 0.6543 0.3086  0.03
3 Sr 0.3457 0.3457 0.6914  0.03
4 Zr 0.5000 0.0000 0.0000  0.54

Values from the calculation:
relative energy among the computed polymorphs: 0.0 meV per atom
symmetry: Immm
energy of formation from the pure elements: 0.334 eV/atom

=====

# 5
This record from Alexandria describes ScBiPO2 at its PBEsol-relaxed geometry. The functional is SCAN.

Cell: 4.0223 4.0223 5.1925 Å, 90.00 90.00 90.00°
Element x y z (fractional)
1 Sc 0.0000 0.0000 0.0000
2 P 0.0000 0.0000 0.5000
3 Bi 0.5000 0.5000 0.5000
4 O 0.0000 0.5000 0.0000
5 O 0.5000 0.0000 0.0000

Values from the calculation:
symmetry: P4/mmm
formation energy (no corrections): -1231 meV/atom

=====

# 6
This record from Alexandria describes LaMgSi3 at its PBEsol-relaxed geometry. The functional is SCAN.

Cell: 4.8193 4.8193 4.8193 Å, 90.00 90.00 90.00°
Element x y z (fractional)
1 Si 0.0000 0.5000 0.0000
2 Si 0.0000 0.0000 0.5000
3 Si 0.5000 0.0000 0.0000
4 Mg 0.0000 0.0000 0.0000
5 La 0.5000 0.5000 0.5000

Values from the calculation:
symmetry: Pm-3m
formation energy (no corrections): 389 meV/atom

=====

# 7
This record from Alexandria describes KZnFe at its PBEsol-relaxed geometry. The functional is SCAN.

Cell: 5.0589 5.0589 5.0589 Å, 60.00 60.00 60.00°
Each line ends with the local moment (μB).
Element x y z (fractional)
1 Fe 0.5000 0.5000 0.5000  3.19
2 K 0.2500 0.2500 0.2500  0.00
3 Zn 0.0000 0.0000 0.0000  -0.02

Values from the calculation:
relative energy among the computed polymorphs: 534.5 meV per atom
symmetry: F-43m
energy of formation from the pure elements: 1.321 eV/atom

=====

# 8
This record from Alexandria describes YPBr2 at its PBEsol-relaxed geometry. The functional is SCAN.

Cell: 4.5110 4.5110 4.8800 Å, 90.00 90.00 90.77°
Element x y z (fractional)
1 Br 0.7412 0.7412 0.0000
2 Br 0.2588 0.2588 0.0000
3 P 0.0000 0.0000 0.5000
4 Y 0.5000 0.5000 0.5000

Values from the calculation:
relative energy among the computed polymorphs: 565.8 meV per atom
symmetry: Cmmm
formation energy (no corrections): -708 meV/atom

=====

# 9
This record from Alexandria describes BeCdP4 at its PBEsol-relaxed geometry. The functional is SCAN.

Cell: 5.0903 5.0903 5.0903 Å, 60.00 60.00 60.00°
Element x y z (fractional)
1 P 0.3774 0.3774 0.3774
2 P 0.3774 0.3774 0.8680
3 P 0.8680 0.3774 0.3774
4 P 0.3774 0.8680 0.3774
5 Be 0.7500 0.7500 0.7500
6 Cd 0.0000 0.0000 0.0000

Values from the calculation:
symmetry: F-43m
energy of formation from the pure elements: 0.897 eV/atom

=====

# 10
This record from Alexandria describes ZnPWCl2 at its PBEsol-relaxed geometry. The functional is SCAN.

Cell: 4.3120 4.3120 5.8428 Å, 90.00 90.00 90.00°
Each line ends with the local moment (μB).
Element x y z (fractional)
1 P 0.0000 0.0000 0.5000  -0.44
2 Zn 0.0000 0.0000 0.0000  -0.03
3 W 0.5000 0.5000 0.5000  2.98
4 Cl 0.0000 0.5000 0.0000  0.00
5 Cl 0.5000 0.0000 0.0000  0.00

Values from the calculation:
symmetry: P4/mmm
formation energy (no corrections): 966 meV/atom

=====

# 11
This record from Alexandria describes ZnIrC3 at its PBEsol-relaxed geometry. The functional is SCAN.

Cell: 3.7944 3.7944 3.7944 Å, 90.00 90.00 90.00°
Element x y z (fractional)
1 Zn 0.0000 0.0000 0.0000
2 Ir 0.5000 0.5000 0.5000
3 C 0.0000 0.5000 0.0000
4 C 0.0000 0.0000 0.5000
5 C 0.5000 0.0000 0.0000

Values from the calculation:
symmetry: Pm-3m
energy of formation from the pure elements: 3.216 eV/atom

=====

# 12
This record from Alexandria describes YBe2Ni at its PBEsol-relaxed geometry. The functional is SCAN.

Cell: 3.7114 3.7114 5.2217 Å, 69.18 69.18 60.00°
Each line ends with the local moment (μB).
Element x y z (fractional)
1 Y 0.5000 0.5000 0.5000  0.08
2 Ni 0.0000 0.0000 0.0000  0.01
3 Be 0.6934 0.6934 0.9197  0.00
4 Be 0.3066 0.3066 0.0803  0.00

Values from the calculation:
relative energy among the computed polymorphs: 0.0 meV per atom
symmetry: R-3m
energy of formation from the pure elements: -0.313 eV/atom

=====

# 13
This record from Alexandria describes Ta3InAg at its PBEsol-relaxed geometry. The functional is SCAN.

Cell: 4.8357 4.8357 4.8357 Å, 90.00 90.00 90.00°
Element x y z (fractional)
1 In 0.5000 0.5000 0.5000
2 Ag 0.0000 0.0000 0.0000
3 Ta 0.0000 0.5000 0.0000
4 Ta 0.0000 0.0000 0.5000
5 Ta 0.5000 0.0000 0.0000

Values from the calculation:
symmetry: Pm-3m
energy of formation from the pure elements: 1.790 eV/atom

=====

# 14
This record from Alexandria describes V3P4O15 at its PBEsol-relaxed geometry. The functional is SCAN.

Cell: 5.2639 12.1617 17.4794 Å, 90.00 90.00 90.00°
Each line ends with the local moment (μB).
Element x y z (fractional)
1 V 0.7494 0.5225 0.3754  1.85
2 V 0.2494 0.4775 0.1246  1.85
3 V 0.2506 0.0225 0.6246  1.85
4 V 0.7506 0.9775 0.8754  1.85
5 V 0.2506 0.4775 0.6246  1.85
6 V 0.7506 0.5225 0.8754  1.85
7 V 0.7494 0.9775 0.3754  1.85
8 V 0.2494 0.0225 0.1246  1.85
9 V 0.0115 0.2500 0.6709  1.07
10 V 0.5115 0.7500 0.8291  1.07
11 V 0.9885 0.7500 0.3291  1.07
12 V 0.4885 0.2500 0.1709  1.07
13 P 0.7450 0.6249 0.1942  0.01
14 P 0.2450 0.3751 0.3058  0.01
15 P 0.2550 0.1249 0.8058  0.01
16 P 0.7550 0.8751 0.6942  0.01
17 P 0.2550 0.3751 0.8058  0.01
18 P 0.7550 0.6249 0.6942  0.01
19 P 0.7450 0.8751 0.1942  0.01
20 P 0.2450 0.1249 0.3058  0.01
21 P 0.2634 0.6314 0.4641  0.01
22 P 0.7634 0.3686 0.0359  0.01
23 P 0.7366 0.1314 0.5359  0.01
24 P 0.2366 0.8686 0.9641  0.01
25 P 0.7366 0.3686 0.5359  0.01
26 P 0.2366 0.6314 0.9641  0.01
27 P 0.2634 0.8686 0.4641  0.01
28 P 0.7634 0.1314 0.0359  0.01
29 O 0.2662 0.2500 0.8349  0.00
30 O 0.7662 0.7500 0.6651  0.00
31 O 0.7338 0.7500 0.1651  0.00
32 O 0.2338 0.2500 0.3349  0.00
33 O 0.7616 0.2500 0.7206  -0.14
34 O 0.2616 0.7500 0.7794  -0.14
35 O 0.2384 0.7500 0.2794  -0.14
36 O 0.7384 0.2500 0.2206  -0.14
37 O 0.7542 0.2500 0.9962  0.00
38 O 0.2542 0.7500 0.5038  0.00
39 O 0.2458 0.7500 0.0038  0.00
40 O 0.7458 0.2500 0.4962  0.00
41 O 0.2773 0.5496 0.0263  0.01
42 O 0.7773 0.4504 0.4737  0.01
43 O 0.7227 0.0496 0.9737  0.01
44 O 0.2227 0.9504 0.5263  0.01
45 O 0.7227 0.4504 0.9737  0.01
46 O 0.2227 0.5496 0.5263  0.01
47 O 0.2773 0.9504 0.0263  0.01
48 O 0.7773 0.0496 0.4737  0.01
49 O 0.4976 0.5706 0.1737  0.00
50 O 0.5093 0.6252 0.4196  -0.01
51 O 0.9976 0.4294 0.3263  0.00
52 O 0.0024 0.9294 0.6737  0.00
53 O 0.5024 0.4294 0.8263  0.00
54 O 0.0024 0.5706 0.6737  0.00
55 O 0.4976 0.9294 0.1737  0.00
56 O 0.9976 0.0706 0.3263  0.00
57 O 0.4752 0.0731 0.3414  0.01
58 O 0.9752 0.9269 0.1586  0.01
59 O 0.5248 0.5731 0.6586  0.01
60 O 0.0248 0.4269 0.8414  0.01
61 O 0.5248 0.9269 0.6586  0.01
62 O 0.0248 0.0731 0.8414  0.01
63 O 0.4752 0.4269 0.3414  0.01
64 O 0.9752 0.5731 0.1586  0.01
65 O 0.5320 0.1324 0.0929  0.00
66 O 0.0320 0.8676 0.4071  0.00
67 O 0.4680 0.6324 0.9071  0.00
68 O 0.9680 0.3676 0.5929  0.00
69 O 0.4680 0.8676 0.9071  0.00
70 O 0.9680 0.1324 0.5929  0.00
71 O 0.5320 0.3676 0.0929  0.00
72 O 0.0320 0.6324 0.4071  0.00
73 O 0.2724 0.1334 0.2166  0.00
74 O 0.7724 0.8666 0.2834  0.00
75 O 0.7276 0.6334 0.7834  0.00
76 O 0.2276 0.3666 0.7166  0.00
77 O 0.7276 0.8666 0.7834  0.00
78 O 0.2276 0.1334 0.7166  0.00
79 O 0.2724 0.3666 0.2166  0.00
80 O 0.7724 0.6334 0.2834  0.00
81 O 0.0093 0.1252 0.0804  -0.01
82 O 0.5093 0.8748 0.4196  -0.01
83 O 0.9907 0.6252 0.9196  -0.01
84 O 0.4907 0.3748 0.5804  -0.01
85 O 0.9907 0.8748 0.9196  -0.01
86 O 0.4907 0.1252 0.5804  -0.01
87 O 0.0093 0.3748 0.0804  -0.01
88 O 0.5024 0.0706 0.8263  0.00

Values from the calculation:
symmetry: Pnma
formation energy (no corrections): -2540 meV/atom

=====

# 15
This record from Alexandria describes NaZnSn2O at its PBEsol-relaxed geometry. The functional is SCAN.

Cell: 3.8700 5.3953 5.3953 Å, 90.00 90.00 90.00°
Element x y z (fractional)
1 Na 0.0000 0.0000 0.0000
2 Zn 0.5000 0.5000 0.5000
3 Sn 0.0000 0.0000 0.5000
4 Sn 0.0000 0.5000 0.0000
5 O 0.5000 0.0000 0.0000

Values from the calculation:
symmetry: P4/mmm
formation energy (no corrections): 503 meV/atom

=====

# 16
This record from Alexandria describes KFe2Hg at its PBEsol-relaxed geometry. The functional is SCAN.

Cell: 3.0684 3.0703 8.2061 Å, 90.00 90.00 90.00°
Each line ends with the local moment (μB).
Element x y z (fractional)
1 Fe 0.0000 0.0000 0.0910  2.86
2 Fe 0.5000 0.5000 0.2070  2.86
3 Hg 0.0000 0.0000 0.4368  -0.03
4 K 0.5000 0.5000 0.7652  -0.01

Values from the calculation:
symmetry: P4mm
energy of formation from the pure elements: 0.398 eV/atom

=====

# 17
This record from Alexandria describes Be2TcPb at its PBEsol-relaxed geometry. The functional is SCAN.

Cell: 3.3813 3.8481 4.8879 Å, 113.18 110.24 90.00°
Element x y z (fractional)
1 Pb 0.4997 0.4997 0.9994
2 Be 0.0044 0.0044 0.0089
3 Be 0.2597 0.7597 0.5193
4 Tc 0.7362 0.2362 0.4724

Values from the calculation:
symmetry: Imm2
energy of formation from the pure elements: 0.321 eV/atom

=====

# 18
This record from Alexandria describes Cd2P2O7 at its PBEsol-relaxed geometry. The functional is SCAN.

Cell: 6.6162 6.6772 6.8263 Å, 83.79 64.94 81.87°
Element x y z (fractional)
1 Cd 0.1181 0.1630 0.2508
2 Cd 0.8819 0.8370 0.7492
3 Cd 0.2777 0.3550 0.6563
4 Cd 0.7223 0.6450 0.3437
5 P 0.2349 0.6602 0.2480
6 P 0.7651 0.3398 0.7520
7 P 0.3606 0.8649 0.8117
8 P 0.6394 0.1351 0.1883
9 O 0.2099 0.7447 0.7652
10 O 0.7901 0.2553 0.2348
11 O 0.0949 0.5071 0.2228
12 O 0.9051 0.4929 0.7772
13 O 0.2584 0.0809 0.8874
14 O 0.7416 0.9191 0.1126
15 O 0.3936 0.5669 0.3509
16 O 0.6064 0.4331 0.6491
17 O 0.5971 0.2550 0.9849
18 O 0.4029 0.7450 0.0151
19 O 0.9296 0.1616 0.6353
20 O 0.0704 0.8384 0.3647
21 O 0.3998 0.1378 0.3657
22 O 0.6002 0.8622 0.6343

Values from the calculation:
symmetry: P-1
formation energy (no corrections): -2163 meV/atom

=====

# 19
This record from Alexandria describes Ge19P4Cl4 at its PBEsol-relaxed geometry. The functional is SCAN.

Cell: 10.3362 10.3362 10.3362 Å, 90.00 90.00 90.00°
Element x y z (fractional)
1 Ge 0.3151 0.3151 0.3151
2 Ge 0.6849 0.6849 0.3151
3 Ge 0.6849 0.3151 0.6849
4 Ge 0.8151 0.8151 0.8151
5 Ge 0.3151 0.6849 0.6849
6 Ge 0.1849 0.1849 0.8151
7 Ge 0.8151 0.1849 0.1849
8 Ge 0.1849 0.8151 0.1849
9 Ge 0.0019 0.1178 0.3077
10 Ge 0.9981 0.8822 0.3077
11 Ge 0.9981 0.1178 0.6923
12 Ge 0.3077 0.0019 0.1178
13 Ge 0.6178 0.5019 0.8077
14 Ge 0.0019 0.8822 0.6923
15 Ge 0.3077 0.9981 0.8822
16 Ge 0.3822 0.4981 0.8077
17 Ge 0.6923 0.9981 0.1178
18 Ge 0.6178 0.4981 0.1923
19 Ge 0.6923 0.0019 0.8822
20 Ge 0.3822 0.5019 0.1923
21 Ge 0.1178 0.3077 0.0019
22 Ge 0.5019 0.8077 0.6178
23 Ge 0.1178 0.6923 0.9981
24 Ge 0.4981 0.1923 0.6178
25 Ge 0.8822 0.6923 0.0019
26 Ge 0.5019 0.1923 0.3822
27 Ge 0.8822 0.3077 0.9981
28 Ge 0.4981 0.8077 0.3822
29 Ge 0.8077 0.6178 0.5019
30 Ge 0.8077 0.3822 0.4981
31 Ge 0.1923 0.3822 0.5019
32 Ge 0.1923 0.6178 0.4981
33 Ge 0.2500 0.5000 0.0000
34 Ge 0.7500 0.5000 0.0000
35 Ge 0.0000 0.2500 0.5000
36 Ge 0.0000 0.7500 0.5000
37 Ge 0.5000 0.0000 0.2500
38 Ge 0.5000 0.0000 0.7500
39 P 0.1838 0.1838 0.1838
40 P 0.8162 0.8162 0.1838
41 P 0.8162 0.1838 0.8162
42 P 0.6838 0.6838 0.6838
43 P 0.1838 0.8162 0.8162
44 P 0.3162 0.3162 0.6838
45 P 0.6838 0.3162 0.3162
46 P 0.3162 0.6838 0.3162
47 Cl 0.2500 0.0000 0.5000
48 Cl 0.7500 0.0000 0.5000
49 Cl 0.5000 0.2500 0.0000
50 Cl 0.5000 0.7500 0.0000
51 Cl 0.0000 0.5000 0.2500
52 Cl 0.0000 0.5000 0.7500
53 Cl 0.0000 0.0000 0.0000
54 Cl 0.5000 0.5000 0.5000

Values from the calculation:
symmetry: P-43n
formation energy (no corrections): -246 meV/atom

=====

# 20
This record from Alexandria describes Cr2NiIr at its PBEsol-relaxed geometry. The functional is SCAN.

Cell: 2.5632 2.5632 7.2055 Å, 90.00 90.00 90.00°
Element x y z (fractional)
1 Cr 0.0000 0.0000 0.7404
2 Cr 0.0000 0.0000 0.2596
3 Ir 0.5000 0.5000 0.0000
4 Ni 0.5000 0.5000 0.5000

Values from the calculation:
symmetry: P4/mmm
energy of formation from the pure elements: -0.020 eV/atom

=====

no.,total moment (μB/f.u.)
1,0.015
2,0.000
3,1.516
4,0.222
5,0.000
6,0.000
7,3.227
8,0.000
9,0.000
10,3.000
11,0.000
12,0.124
13,0.000
14,5.000
15,0.000
16,5.549
17,0.000
18,0.000
19,0.000
20,0.008